Compound: LaAlMoO6
Source: Alexandria
Functional: GGA+U
Structure: relaxed

The raw total energy comes out at -7.618 eV per atom.

The structure belongs to space group P312 (No. 149); the cell edges are 5.1167, 5.1167 and 5.2009 Å and the angles 90.00°, 90.00° and 120.00°. The inequivalent atoms are La at (0.0000, 0.0000, 0.0000), Al at (0.3333, 0.6667, 0.5000), Mo at (0.6667, 0.3333, 0.5000) and O at (0.0035, 0.3786, 0.7072).